1.
The following is a PBE-GGA calculation of a relaxed CaCo3 crystal, from the Alexandria database.

Lattice parameters (Å, degrees): 5.378 5.378 4.255 90.00 90.00 101.11
Sites, in units of the cell vectors:
Ca: 0.093 0.907 0.750
Ca: 0.907 0.093 0.250
Co: 0.118 0.555 0.250
Co: 0.434 0.566 0.750
Co: 0.445 0.882 0.250
Co: 0.555 0.118 0.750
Co: 0.566 0.434 0.250
Co: 0.882 0.445 0.750

Calculated values
formation enthalpy at 0 K = 0.55 eV/atom
calculated density = 5.96 Mg/m³


2.
The following is a PBE-GGA calculation of a relaxed Ca3Co crystal, from the Alexandria database.

Lattice parameters (Å, degrees): 7.604 9.507 6.450 90.00 90.00 90.00
Sites, in units of the cell vectors:
Ca: 0.045 0.250 0.145
Ca: 0.169 0.068 0.660
Ca: 0.169 0.432 0.660
Ca: 0.331 0.568 0.160
Ca: 0.331 0.932 0.160
Ca: 0.455 0.750 0.645
Ca: 0.545 0.250 0.355
Ca: 0.669 0.068 0.840
Ca: 0.669 0.432 0.840
Ca: 0.831 0.568 0.340
Ca: 0.831 0.932 0.340
Ca: 0.955 0.750 0.855
Co: 0.124 0.750 0.455
Co: 0.376 0.250 0.955
Co: 0.624 0.750 0.045
Co: 0.876 0.250 0.545

Calculated values
formation enthalpy at 0 K = 0.14 eV/atom
calculated density = 2.55 Mg/m³


3.
The following is a PBE-GGA calculation of a relaxed CaCo13 crystal, from the Alexandria database.

Lattice parameters (Å, degrees): 7.938 7.938 7.938 60.00 60.00 60.00
Sites, in units of the cell vectors:
Ca: 0.250 0.250 0.250
Ca: 0.750 0.750 0.750
Co: 0.000 0.000 0.000
Co: 0.058 0.297 0.703
Co: 0.058 0.703 0.942
Co: 0.058 0.942 0.297
Co: 0.203 0.442 0.797
Co: 0.203 0.558 0.442
Co: 0.203 0.797 0.558
Co: 0.297 0.058 0.942
Co: 0.297 0.703 0.058
Co: 0.297 0.942 0.703
Co: 0.442 0.203 0.558
Co: 0.442 0.558 0.797
Co: 0.442 0.797 0.203
Co: 0.500 0.500 0.500
Co: 0.558 0.203 0.797
Co: 0.558 0.442 0.203
Co: 0.558 0.797 0.442
Co: 0.703 0.058 0.297
Co: 0.703 0.297 0.942
Co: 0.703 0.942 0.058
Co: 0.797 0.203 0.442
Co: 0.797 0.442 0.558
Co: 0.797 0.558 0.203
Co: 0.942 0.058 0.703
Co: 0.942 0.297 0.058
Co: 0.942 0.703 0.297

Calculated values
formation enthalpy at 0 K = 0.04 eV/atom
calculated density = 7.57 Mg/m³


4.
The following is a PBE-GGA calculation of a relaxed CaCo3 crystal, from the Alexandria database.

Lattice parameters (Å, degrees): 3.025 3.025 6.653 90.00 90.00 90.00
Sites, in units of the cell vectors:
Ca: 0.000 0.000 0.000
Co: 0.000 0.000 0.500
Co: 0.500 0.500 0.322
Co: 0.500 0.500 0.678

Calculated values
formation enthalpy at 0 K = 0.32 eV/atom
calculated density = 5.92 Mg/m³


5.
The following is a PBE-GGA calculation of a relaxed Ca3Co2 crystal, from the Alexandria database.

Lattice parameters (Å, degrees): 11.353 11.353 11.353 18.63 18.63 18.63
Sites, in units of the cell vectors:
Ca: 0.000 0.000 0.000
Ca: 0.219 0.219 0.219
Ca: 0.781 0.781 0.781
Co: 0.393 0.393 0.393
Co: 0.607 0.607 0.607

Calculated values
formation enthalpy at 0 K = 0.53 eV/atom
calculated density = 3.03 Mg/m³


6.
The following is a PBE-GGA calculation of a relaxed Ca5Co crystal, from the Alexandria database.

Lattice parameters (Å, degrees): 5.661 8.368 8.368 30.47 90.00 90.00
Sites, in units of the cell vectors:
Ca: 0.000 0.000 0.000
Ca: 0.000 0.268 0.268
Ca: 0.500 0.134 0.134
Ca: 0.500 0.469 0.469
Ca: 0.500 0.799 0.799
Co: 0.000 0.634 0.634

Calculated values
formation enthalpy at 0 K = 0.29 eV/atom
offset from the most stable computed form = 131 meV/atom
calculated density = 2.14 Mg/m³


7.
The following is a PBE-GGA calculation of a relaxed CaCo3 crystal, from the Alexandria database.

Lattice parameters (Å, degrees): 2.855 2.855 8.320 90.00 90.00 120.00
Sites, in units of the cell vectors:
Ca: 0.000 0.000 0.000
Co: 0.000 0.000 0.500
Co: 0.667 0.333 0.289
Co: 0.667 0.333 0.711

Calculated values
formation enthalpy at 0 K = 0.66 eV/atom
calculated density = 6.13 Mg/m³


8.
The following is a PBE-GGA calculation of a relaxed Ca4Co crystal, from the Alexandria database.

Lattice parameters (Å, degrees): 6.009 6.009 6.009 109.47 109.47 109.47
Sites, in units of the cell vectors:
Ca: 0.000 0.000 0.500
Ca: 0.000 0.500 0.000
Ca: 0.500 0.000 0.000
Ca: 0.500 0.500 0.500
Co: 0.000 0.000 0.000

Calculated values
formation enthalpy at 0 K = 0.33 eV/atom
offset from the most stable computed form = 224 meV/atom
calculated density = 2.18 Mg/m³


> Among the records above, which one has the lowest calculated density?

Ca5Co